No. 1
Entry from Alexandria: crystalline MgCd2Ru at its relaxed geometry (PBE).

The structure belongs to space group R3m (No. 160, hexagonal axes); the cell edges are 2.9671, 2.9671 and 29.9832 Å and the angles 90.00°, 90.00° and 120.00°. The asymmetric unit holds Mg at (0.0000, 0.0000, 0.0000), Cd at (0.0000, 0.0000, 0.5207), Cd at (0.0000, 0.0000, 0.7591) and Ru at (0.0000, 0.0000, 0.2642).

The calculation puts the energy relative to the elements at 0.18 eV per atom. Its spin magnetization is 0.00 μB/cell. The uncorrected energy is -0.1102 hartree per atom.

***

No. 2
Entry from Alexandria: crystalline MgCdRu at its relaxed geometry (PBE).

The structure belongs to space group I4mm (No. 107); the cell edges are 3.3017, 3.3017 and 9.5960 Å and the angles 90.00°, 90.00° and 90.00°. The asymmetric unit holds Mg at (0.0000, 0.0000, 0.0000), Cd at (0.0000, 0.0000, 0.3097) and Ru at (0.0000, 0.0000, 0.6429).

The calculation puts the energy relative to the elements at 0.15 eV per atom. Its spin magnetization is 0.76 μB/cell. Its energy above the lowest structure with this stoichiometry is 0.000 eV/f.u. The uncorrected energy is -0.1387 hartree per atom.

***

No. 3
Entry from Alexandria: crystalline MgCd2Ru at its relaxed geometry (PBE).

The structure belongs to space group I-4m2 (No. 119); the cell edges are 4.1219, 4.1219 and 8.5214 Å and the angles 90.00°, 90.00° and 90.00°. The asymmetric unit holds Mg at (0.0000, 0.0000, 0.0000), Cd at (0.0000, 0.0000, 0.5000), Cd at (0.0000, 0.5000, 0.2500) and Ru at (0.0000, 0.5000, 0.7500).

The calculation puts the energy relative to the elements at 0.10 eV per atom. Its spin magnetization is 0.90 μB/cell. The uncorrected energy is -0.1131 hartree per atom.

***

No. 4
Entry from Alexandria: crystalline Mg6Cd5Ru at its relaxed geometry (PBE).

The structure belongs to space group P2/m (No. 10); the cell edges are 4.9952, 6.4607 and 7.8339 Å and the angles 90.00°, 107.81° and 90.00°. The asymmetric unit holds Mg at (0.0000, 0.2304, 0.0000), Mg at (0.2902, 0.2361, 0.6885), Cd at (0.2206, 0.5000, 0.3533), Cd at (0.2287, 0.0000, 0.3308), Cd at (0.5000, 0.5000, 0.0000) and Ru at (0.5000, 0.0000, 0.0000).

The calculation puts the energy relative to the elements at -0.09 eV per atom. Its spin magnetization is 0.00 μB/cell. The uncorrected energy is -0.0749 hartree per atom.

***

What did the fourth record say?
Entry from Alexandria: crystalline Mg6Cd5Ru at its relaxed geometry (PBE).

The structure belongs to space group P2/m (No. 10); the cell edges are 4.9952, 6.4607 and 7.8339 Å and the angles 90.00°, 107.81° and 90.00°. The asymmetric unit holds Mg at (0.0000, 0.2304, 0.0000), Mg at (0.2902, 0.2361, 0.6885), Cd at (0.2206, 0.5000, 0.3533), Cd at (0.2287, 0.0000, 0.3308), Cd at (0.5000, 0.5000, 0.0000) and Ru at (0.5000, 0.0000, 0.0000).

The calculation puts the energy relative to the elements at -0.09 eV per atom. Its spin magnetization is 0.00 μB/cell. The uncorrected energy is -0.0749 hartree per atom.